Entry 1:
## CsScCl2O (PBE)

Data for crystalline CsScCl2O at its relaxed geometry.

The total magnetization comes out at 0.000 μB per formula unit. The density of states at the Fermi level comes out at 0.000 states/eV per cell. The calculation puts the uncorrected formation energy at -1791 meV/atom.

The structure belongs to space group P4/mmm (No. 123); the cell edges are 6.197, 6.197 and 3.763 Å and the angles 90.00°, 90.00° and 90.00°. The distinct sites, in fractional coordinates, are Cs at (0.000, 0.000, 0.000), Sc at (0.500, 0.500, 0.000), Cl at (0.000, 0.500, 0.500) and O at (0.500, 0.500, 0.500).



Entry 2:
## Cs2ScCl6O (PBE)

Data for crystalline Cs2ScCl6O at its relaxed geometry.

The total magnetization comes out at 3.000 μB per formula unit. The density of states at the Fermi level comes out at 0.000 states/eV per cell. The calculation puts the uncorrected formation energy at -1386 meV/atom.

The structure belongs to space group Fm-3m (No. 225); the cell edges are 10.469, 10.469 and 10.469 Å and the angles 90.00°, 90.00° and 90.00°. The distinct sites, in fractional coordinates, are Cs at (0.250, 0.250, 0.250), Sc at (0.000, 0.000, 0.000), Cl at (0.000, 0.000, 0.240) and O at (0.000, 0.000, 0.500).



Entry 3:
## Cs2TaCl6O (PBE)

Data for crystalline Cs2TaCl6O at its relaxed geometry.

The total magnetization comes out at 1.000 μB per formula unit. The density of states at the Fermi level comes out at 20.524 states/eV per cell. The calculation puts the uncorrected formation energy at -1252 meV/atom.

The structure belongs to space group I4/mmm (No. 139); the cell edges are 7.580, 7.580 and 11.137 Å and the angles 90.00°, 90.00° and 90.00°. The distinct sites, in fractional coordinates, are Cs at (0.000, 0.500, 0.250), Ta at (0.000, 0.000, 0.000), Cl at (0.000, 0.000, 0.216), Cl at (0.224, 0.224, 0.000) and O at (0.000, 0.000, 0.500).



Entry 4:
## Cs2TcCl4O2 (PBE)

Data for crystalline Cs2TcCl4O2 at its relaxed geometry.

The total magnetization comes out at 1.000 μB per formula unit. The calculation puts the uncorrected formation energy at -1384 meV/atom.

The structure belongs to space group C2/m (No. 12); the cell edges are 12.015, 7.319 and 6.072 Å and the angles 90.00°, 102.61° and 90.00°. The distinct sites, in fractional coordinates, are Cs at (0.174, 0.000, 0.322), Tc at (0.000, 0.500, 0.000), Cl at (0.088, 0.264, 0.815) and O at (0.121, 0.500, 0.228).



Entry 5:
## CsTc2ClO (PBE)

Data for crystalline CsTc2ClO at its relaxed geometry.

The total magnetization comes out at 9.671 μB per formula unit. The density of states at the Fermi level comes out at 15.198 states/eV per cell. The calculation puts the uncorrected formation energy at 2568 meV/atom.

The structure belongs to space group P4/mmm (No. 123); the cell edges are 5.874, 5.874 and 5.930 Å and the angles 90.00°, 90.00° and 90.00°. The distinct sites, in fractional coordinates, are Cs at (0.000, 0.000, 0.000), Tc at (0.000, 0.500, 0.000), Cl at (0.000, 0.000, 0.500) and O at (0.500, 0.500, 0.500).



Entry 6:
## Cs2TeCl6O (PBE)

Data for crystalline Cs2TeCl6O at its relaxed geometry.

The total magnetization comes out at 2.000 μB per formula unit. The density of states at the Fermi level comes out at 0.000 states/eV per cell. The calculation puts the uncorrected formation energy at -906 meV/atom.

The structure belongs to space group I4/mmm (No. 139); the cell edges are 7.512, 7.512 and 11.520 Å and the angles 90.00°, 90.00° and 90.00°. The distinct sites, in fractional coordinates, are Cs at (0.000, 0.500, 0.250), Te at (0.000, 0.000, 0.000), Cl at (0.000, 0.000, 0.223), Cl at (0.241, 0.241, 0.000) and O at (0.000, 0.000, 0.500).